VASP calculation (PBE+U) on a relaxed structure of TlCr2TcO8.

Cell lengths 4.651, 4.651, 6.486 Å; angles 90.00, 90.00, 91.34 degrees
Positions (direct):
Tl  0.000  0.000  0.000
Cr  0.500  0.500  0.258
Cr  0.500  0.500  0.742
Tc  0.000  0.000  0.500
O  0.201  0.799  0.295
O  0.201  0.799  0.705
O  0.300  0.300  0.500
O  0.321  0.321  0.000
O  0.679  0.679  0.000
O  0.700  0.700  0.500
O  0.799  0.201  0.295
O  0.799  0.201  0.705

Properties
Calculated density   6.3 g/cm3
Raw total energy   -6.930 eV/atom